Record 1
Pr3DyTh4Se8 after structural relaxation. Source: the Alexandria database, functional PBE.

Calculated values
**Crystal system**: trigonal
**VASP energy**: -6.4517 eV/atom
**Spin magnetization**: 0.0 μB/cell
**Fermi-level density of states**: 0.354 states/eV per atom

Cell: 8.328 8.510 8.326 Å, 119.27 120.01 90.00°
Atoms (fractional coordinates):
Pr1 0.500 0.500 0.000
Pr2 0.500 0.500 0.500
Pr3 0.000 0.500 0.500
Dy1 0.000 0.500 0.000
Th1 0.500 0.000 0.000
Th2 0.500 0.000 0.500
Th3 0.000 0.000 0.000
Th4 0.000 0.000 0.500
Se1 0.245 0.746 0.001
Se2 0.245 0.746 0.490
Se3 0.250 0.249 0.499
Se4 0.756 0.746 0.001
Se5 0.244 0.254 0.999
Se6 0.750 0.751 0.501
Se7 0.755 0.254 0.510
Se8 0.755 0.254 0.999

Record 2
Pr2Dy3ThSe6 after structural relaxation. Source: the Alexandria database, functional PBE.

Calculated values
**Crystal system**: monoclinic
**VASP energy**: -6.0487 eV/atom
**Spin magnetization**: 0.0 μB/cell
**Fermi-level density of states**: 0.534 states/eV per atom

Cell: 4.115 8.421 9.385 Å, 105.14 102.66 90.00°
Atoms (fractional coordinates):
Pr1 0.836 0.672 0.673
Pr2 0.164 0.328 0.327
Dy1 0.500 0.500 0.000
Dy2 0.833 0.166 0.666
Dy3 0.167 0.834 0.334
Th1 0.500 0.000 0.000
Se1 0.330 0.928 0.660
Se2 0.664 0.593 0.329
Se3 0.670 0.072 0.340
Se4 0.995 0.258 0.989
Se5 0.005 0.742 0.011
Se6 0.336 0.407 0.671

Record 3
PrDy2ThSe4 after structural relaxation. Source: the Alexandria database, functional PBE.

Calculated values
**Crystal system**: monoclinic
**VASP energy**: -6.1318 eV/atom
**Spin magnetization**: 0.0 μB/cell
**Fermi-level density of states**: 0.511 states/eV per atom

Cell: 4.094 7.327 7.139 Å, 71.21 90.00 90.00°
Atoms (fractional coordinates):
Pr1 0.500 0.500 0.000
Dy1 0.000 0.000 0.000
Dy2 0.500 0.000 0.500
Th1 0.000 0.500 0.500
Se1 0.000 0.766 0.743
Se2 0.000 0.234 0.257
Se3 0.500 0.765 0.246
Se4 0.500 0.235 0.754

Record 4
Pr3DyTl4Se8 after structural relaxation. Source: the Alexandria database, functional PBE.

Calculated values
**Crystal system**: trigonal
**VASP energy**: -4.8928 eV/atom
**Spin magnetization**: 0.0 μB/cell

Cell: 8.634 9.221 8.633 Å, 117.93 120.00 90.00°
Atoms (fractional coordinates):
Pr1 0.500 0.500 0.000
Pr2 0.500 0.500 0.500
Pr3 0.000 0.500 0.500
Dy1 0.000 0.500 0.000
Tl1 0.500 0.000 0.000
Tl2 0.500 0.000 0.500
Tl3 0.000 0.000 0.000
Tl4 0.000 0.000 0.500
Se1 0.232 0.709 0.977
Se2 0.232 0.709 0.464
Se3 0.262 0.286 0.524
Se4 0.745 0.709 0.977
Se5 0.255 0.291 0.023
Se6 0.738 0.714 0.476
Se7 0.768 0.291 0.536
Se8 0.768 0.291 0.023